VASP calculation (PBE) on BePbW2 after structural relaxation.

Properties
ΔH_f (0 K) in eV per atom: 0.46
Energy relative to the lowest polymorph listed for this composition in meV/atom: 0

The structure in POSCAR format:
```
BePbW2
1.0
-1.871 0.832 -2.498
-2.631 -0.528 1.795
-2.523 5.714 3.792
W Be Pb
2 1 1
Direct
0.000 0.946 0.056 W
0.500 0.223 0.276 W
0.000 0.570 0.429 Be
0.500 0.761 0.740 Pb
```

=====

VASP calculation (PBE) on Be2PbW after structural relaxation.

Properties
ΔH_f (0 K) in eV per atom: 1.03

The structure in POSCAR format:
```
Be2PbW
1.0
6.817 0.000 0.000
0.000 6.817 0.000
3.409 3.409 2.757
Be Pb W
4 2 2
Direct
0.149 0.625 0.250 Be
0.375 0.399 0.750 Be
0.875 0.851 0.750 Be
0.601 0.125 0.250 Be
0.000 0.000 0.000 Pb
0.750 0.250 0.500 Pb
0.500 0.500 0.000 W
0.250 0.750 0.500 W
```

=====

VASP calculation (PBE) on BePbW2 after structural relaxation.

Properties
ΔH_f (0 K) in eV per atom: 0.72
Energy relative to the lowest polymorph listed for this composition in meV/atom: 255

The structure in POSCAR format:
```
BePbW2
1.0
-1.345 -0.506 2.733
-1.004 -2.743 -1.002
5.989 -3.061 2.382
W Pb Be
2 1 1
Direct
0.000 0.000 0.420 W
0.000 0.000 0.080 W
0.500 0.500 0.750 Pb
0.500 0.500 0.250 Be
```

=====

VASP calculation (PBE) on Be2PbW after structural relaxation.

Properties
ΔH_f (0 K) in eV per atom: 0.74

The structure in POSCAR format:
```
Be2PbW
1.0
3.765 0.000 0.000
0.000 4.383 0.000
0.000 0.000 3.492
Be Pb W
2 1 1
Direct
0.500 0.500 0.000 Be
0.000 0.000 0.000 Be
0.500 0.000 0.500 Pb
0.000 0.500 0.500 W
```

=====

VASP calculation (PBE) on Be3PbW after structural relaxation.

Properties
ΔH_f (0 K) in eV per atom: 1.22
Energy relative to the lowest polymorph listed for this composition in meV/atom: 0

The structure in POSCAR format:
```
Be3PbW
1.0
-1.691 0.039 4.171
4.154 -0.391 1.688
0.377 4.484 0.111
W Be Pb
1 3 1
Direct
0.000 0.000 0.000 W
0.000 0.000 0.500 Be
0.500 0.000 0.000 Be
0.000 0.500 0.000 Be
0.500 0.500 0.500 Pb
```

=====

VASP calculation (PBE) on BePbW2 after structural relaxation.

Properties
ΔH_f (0 K) in eV per atom: 0.89
Energy relative to the lowest polymorph listed for this composition in meV/atom: 431

The structure in POSCAR format:
```
BePbW2
1.0
4.818 0.059 0.000
1.150 4.679 0.000
-2.984 -2.369 2.949
Pb W Be
1 2 1
Direct
0.750 0.250 0.500 Pb
0.250 0.750 0.500 W
0.000 0.000 0.000 W
0.500 0.500 0.000 Be
```